Entry from Alexandria: a geometry-optimized MgAgPtCl6 structure (GGA-PBE).

Unit cell a=6.3485 b=6.3485 c=12.0710 alpha=90.00 beta=90.00 gamma=120.00
With the nearest neighbours (Å) after each atom.
Sites, in units of the cell vectors:
Cl1 0.3592 0.3492 0.3656  1 Pt 2.44, 1 Mg 2.52
Cl2 0.6408 0.9900 0.8656  1 Pt 2.44, 1 Mg 2.52
Cl3 0.0100 0.3592 0.6344  1 Pt 2.44, 1 Mg 2.52
Cl4 0.6508 0.0100 0.3656  1 Pt 2.44, 1 Mg 2.52
Cl5 0.9900 0.6408 0.3656  1 Pt 2.44, 1 Mg 2.52
Cl6 0.9900 0.3492 0.1344  1 Pt 2.44, 1 Mg 2.52
Cl7 0.0100 0.6508 0.8656  1 Pt 2.44, 1 Mg 2.52
Cl8 0.6408 0.6508 0.6344  1 Pt 2.44, 1 Mg 2.52
Cl9 0.6508 0.6408 0.1344  1 Pt 2.44, 1 Mg 2.52
Cl10 0.3592 0.0100 0.1344  1 Pt 2.44, 1 Mg 2.52
Cl11 0.3492 0.9900 0.6344  1 Pt 2.44, 1 Mg 2.52
Cl12 0.3492 0.3592 0.8656  1 Pt 2.44, 1 Mg 2.52
Mg1 0.3333 0.6667 0.2500  6 Cl 2.52
Mg2 0.6667 0.3333 0.7500  6 Cl 2.52
Pt1 0.6667 0.3333 0.2500  6 Cl 2.44
Pt2 0.3333 0.6667 0.7500  6 Cl 2.44
Ag1 0.0000 0.0000 0.5000  6 Cl 2.77
Ag2 0.0000 0.0000 0.0000  6 Cl 2.77

- Volume: 421.32 Å³/cell
- Space group: P-31c (163)
- Total DFT energy (no corrections): -3.230 eV per atom
- Total magnetic moment: 1.04 μB per formula unit

Entry from Alexandria: a geometry-optimized Li2RhPbN structure (GGA-PBE).

Unit cell a=4.3683 b=4.3683 c=3.8499 alpha=90.00 beta=90.00 gamma=90.00
With the nearest neighbours (Å) after each atom.
Sites, in units of the cell vectors:
N1 0.0000 0.0000 0.0000  2 Rh 1.92
Li1 0.0000 0.5000 0.0000  2 N 2.18
Li2 0.5000 0.0000 0.0000  2 N 2.18
Pb1 0.5000 0.5000 0.5000  8 Li 2.91, 4 Rh 3.09
Rh1 0.0000 0.0000 0.5000  2 N 1.92

- Volume: 73.46 Å³/cell
- Space group: P4/mmm (123)
- Total DFT energy (no corrections): -4.898 eV per atom
- Total magnetic moment: 0.00 μB per formula unit

Entry from Alexandria: a geometry-optimized ZrScCr2 structure (GGA-PBE).

Unit cell a=3.0029 b=3.0029 c=7.7075 alpha=90.00 beta=90.00 gamma=90.00
With the nearest neighbours (Å) after each atom.
Sites, in units of the cell vectors:
Sc1 0.0000 0.0000 0.4451  5 Cr 2.83-3.04, 4 Sc 3.00
Zr1 0.5000 0.5000 0.8021  5 Cr 2.86-3.08, 4 Zr 3.00
Cr1 0.5000 0.5000 0.2019  4 Cr 2.42
Cr2 0.0000 0.0000 0.0509  4 Cr 2.42

- Volume: 69.50 Å³/cell
- Space group: P4mm (99)
- Total DFT energy (no corrections): -8.383 eV per atom
- Total magnetic moment: 0.04 μB per formula unit
- Calculated formation energy: 0.1491 eV/atom

Entry from Alexandria: a geometry-optimized Tc2AgMo structure (GGA-PBE).

Unit cell a=9.5734 b=9.5734 c=9.5734 alpha=16.64 beta=16.64 gamma=16.64
With the nearest neighbours (Å) after each atom.
Sites, in units of the cell vectors:
Tc1 0.2558 0.2558 0.2558  9 Tc 2.65-2.77, 3 Ag 2.96
Tc2 0.9971 0.9971 0.9971  9 Tc 2.65-2.77, 3 Mo 2.83
Mo1 0.7460 0.7460 0.7460  6 Mo 2.77, 3 Tc 2.83, 3 Ag 2.97
Ag1 0.5011 0.5011 0.5011  6 Ag 2.77, 3 Tc 2.96, 3 Mo 2.97

- Volume: 62.76 Å³/cell
- Space group: R3m (160)
- Total DFT energy (no corrections): -8.333 eV per atom
- Offset from the most stable computed form: 0.00 eV per formula unit
- Total magnetic moment: 0.00 μB per formula unit
- Calculated formation energy: 0.2702 eV/atom

Entry from Alexandria: a geometry-optimized ZrSbAs2 structure (GGA-PBE).

Unit cell a=4.8555 b=4.8555 c=3.5485 alpha=90.00 beta=90.00 gamma=90.00
With the nearest neighbours (Å) after each atom.
Sites, in units of the cell vectors:
Zr1 0.0000 0.5000 0.5000  8 As 3.01
As1 0.0000 0.0000 0.0000  4 Sb 3.01, 4 Zr 3.01
As2 0.5000 0.5000 0.0000  4 Zr 3.01, 4 Sb 3.01
Sb1 0.5000 0.0000 0.5000  8 As 3.01

- Volume: 83.66 Å³/cell
- Space group: P4/mmm (123)
- Total DFT energy (no corrections): -5.654 eV per atom
- Total magnetic moment: 0.00 μB per formula unit

Entry from Alexandria: a geometry-optimized Dy4GeTe2Pb structure (GGA-PBE).

Unit cell a=4.3099 b=7.5638 c=7.5547 alpha=70.89 beta=90.00 gamma=90.00
With the nearest neighbours (Å) after each atom.
Sites, in units of the cell vectors:
Dy1 0.0000 0.7337 0.7431  1 Ge 2.94, 2 Pb 3.05, 3 Te 3.11-3.22
Dy2 0.5000 0.2755 0.7306  2 Ge 2.94, 1 Pb 3.05, 3 Te 3.12-3.22
Dy3 0.0000 0.2663 0.2569  1 Ge 2.94, 2 Pb 3.05, 3 Te 3.11-3.22
Dy4 0.5000 0.7245 0.2694  2 Ge 2.94, 1 Pb 3.05, 3 Te 3.12-3.22
Ge1 0.0000 0.5000 0.5000  6 Dy 2.94
Te1 0.0000 0.0000 0.0000  6 Dy 3.22
Te2 0.5000 0.0000 0.5000  6 Dy 3.11-3.12
Pb1 0.5000 0.5000 0.0000  6 Dy 3.05

- Volume: 232.71 Å³/cell
- Space group: P2/m (10)
- Total DFT energy (no corrections): -5.173 eV per atom
- Total magnetic moment: 0.00 μB per formula unit

Entry from Alexandria: a geometry-optimized Ca3H6Pd structure (GGA-PBE).

Unit cell a=5.1652 b=7.2141 c=7.2141 alpha=103.55 beta=90.00 gamma=90.00
With the nearest neighbours (Å) after each atom.
Sites, in units of the cell vectors:
H1 0.6719 0.2157 0.7843  1 Pd 1.75
H2 0.6777 0.8884 0.4107  1 Pd 1.78
H3 0.6228 0.9528 0.0472  1 Pd 1.76
H4 0.7144 0.3378 0.3528  4 Ca 2.25-2.29
H5 0.1228 0.0472 0.9528  1 Pd 1.76
H6 0.1719 0.7843 0.2157  1 Pd 1.75
H7 0.7144 0.6472 0.6622  4 Ca 2.25-2.29
H8 0.2144 0.6622 0.6472  4 Ca 2.25-2.29
H9 0.6777 0.5893 0.1116  1 Pd 1.78
H10 0.1777 0.4107 0.8884  1 Pd 1.78
H11 0.1777 0.1116 0.5893  1 Pd 1.78
H12 0.2144 0.3528 0.3378  4 Ca 2.25-2.29
Ca1 0.4767 0.9183 0.6999  5 H 2.25-2.34
Ca2 0.4767 0.3001 0.0817  5 H 2.25-2.34
Ca3 0.9767 0.6999 0.9183  5 H 2.25-2.34
Ca4 0.9767 0.0817 0.3001  5 H 2.25-2.34
Ca5 0.9459 0.6118 0.3882  7 H 2.27-2.40
Ca6 0.4459 0.3882 0.6118  7 H 2.27-2.40
Pd1 0.5070 0.8071 0.1929  4 H 1.75-1.78
Pd2 0.0070 0.1929 0.8071  4 H 1.75-1.78

- Volume: 261.34 Å³/cell
- Space group: Cmc2_1 (36)
- Total DFT energy (no corrections): -3.667 eV per atom
- Total magnetic moment: 0.00 μB per formula unit

Entry from Alexandria: a geometry-optimized SrCo2Pb structure (GGA-PBE).

Unit cell a=3.9877 b=4.3289 c=5.4786 alpha=66.74 beta=90.00 gamma=90.00
With the nearest neighbours (Å) after each atom.
Sites, in units of the cell vectors:
Sr1 0.5000 0.7781 0.8187  7 Co 2.90-3.14
Co1 0.0000 0.1693 0.0359  2 Co 2.25
Co2 0.5000 0.0668 0.2420  2 Co 2.25
Pb1 0.0000 0.4859 0.4034  7 Co 2.85-3.18

- Volume: 86.89 Å³/cell
- Space group: Amm2 (38)
- Total DFT energy (no corrections): -4.663 eV per atom
- Total magnetic moment: 2.54 μB per formula unit
- Calculated formation energy: 0.2373 eV/atom

Entry from Alexandria: a geometry-optimized Sr2CaTcAg structure (GGA-PBE).

Unit cell a=5.5796 b=5.4372 c=5.5796 alpha=90.00 beta=90.00 gamma=90.00
With the nearest neighbours (Å) after each atom.
Sites, in units of the cell vectors:
Sr1 0.5000 0.0000 0.0000  2 Tc 2.79
Sr2 0.0000 0.0000 0.5000  2 Tc 2.79
Tc1 0.0000 0.0000 0.0000  2 Ag 2.72, 4 Sr 2.79
Ca1 0.5000 0.5000 0.5000  8 Sr 3.90, 4 Ag 3.95
Ag1 0.0000 0.5000 0.0000  2 Tc 2.72

- Volume: 169.27 Å³/cell
- Space group: P4/mmm (123)
- Total DFT energy (no corrections): -3.067 eV per atom
- Total magnetic moment: 0.00 μB per formula unit
- Calculated formation energy: 0.6492 eV/atom

Entry from Alexandria: a geometry-optimized SbBrCl2 structure (GGA-PBE).

Unit cell a=3.8814 b=3.8826 c=8.0155 alpha=90.00 beta=90.00 gamma=90.00
With the nearest neighbours (Å) after each atom.
Sites, in units of the cell vectors:
Cl1 0.5000 0.5000 0.2893  4 Sb 2.93, 4 Cl 3.09, 1 Br 3.14
Cl2 0.0000 0.0000 0.1128  1 Sb 2.44
Br1 0.5000 0.5000 0.6813  1 Cl 3.14, 4 Sb 3.47
Sb1 0.0000 0.0000 0.4166  1 Cl 2.44

- Volume: 120.79 Å³/cell
- Space group: P4mm (99)
- Total DFT energy (no corrections): -2.644 eV per atom
- Offset from the most stable computed form: 2.01 eV per formula unit
- Total magnetic moment: 0.00 μB per formula unit

Copy entry 2 word for word.
Entry from Alexandria: a geometry-optimized Li2RhPbN structure (GGA-PBE).

Unit cell a=4.3683 b=4.3683 c=3.8499 alpha=90.00 beta=90.00 gamma=90.00
With the nearest neighbours (Å) after each atom.
Sites, in units of the cell vectors:
N1 0.0000 0.0000 0.0000  2 Rh 1.92
Li1 0.0000 0.5000 0.0000  2 N 2.18
Li2 0.5000 0.0000 0.0000  2 N 2.18
Pb1 0.5000 0.5000 0.5000  8 Li 2.91, 4 Rh 3.09
Rh1 0.0000 0.0000 0.5000  2 N 1.92

- Volume: 73.46 Å³/cell
- Space group: P4/mmm (123)
- Total DFT energy (no corrections): -4.898 eV per atom
- Total magnetic moment: 0.00 μB per formula unit

Among the records above, which one has the highest total magnetic moment?
SrCo2Pb

Which formula does entry 1 have?
MgAgPtCl6